No. 1
First-principles (PBE-GGA) data for an optimized crystal structure of NaZrAgO3, as listed in OQMD via LeMat-Bulk.

Results
crystal system	orthorhombic

a = 3.224 Å, b = 8.930 Å, c = 12.149 Å
α = 90.00°, β = 90.00°, γ = 90.00°
Atoms (fractional coordinates):
1 Zr 0.250 0.337 0.544
2 O 0.250 0.979 0.904
3 Zr 0.250 0.163 0.044
4 Zr 0.750 0.663 0.456
5 Zr 0.750 0.837 0.956
6 Ag 0.750 0.024 0.399
7 O 0.750 0.479 0.596
8 Na 0.250 0.866 0.210
9 O 0.750 0.808 0.333
10 O 0.250 0.521 0.404
11 O 0.250 0.745 0.048
12 O 0.250 0.192 0.667
13 O 0.750 0.255 0.952
14 O 0.750 0.021 0.096
15 Ag 0.250 0.524 0.101
16 O 0.750 0.692 0.833
17 Na 0.750 0.366 0.290
18 Ag 0.750 0.476 0.899
19 Na 0.250 0.634 0.710
20 Na 0.750 0.134 0.790
21 O 0.750 0.245 0.452
22 O 0.250 0.755 0.548
23 Ag 0.250 0.976 0.601
24 O 0.250 0.308 0.167

***

No. 2
First-principles (PBE-GGA) data for an optimized crystal structure of DyHoAl2Pt4, as listed in OQMD via LeMat-Bulk.

Results
crystal system	hexagonal

a = 4.339 Å, b = 4.339 Å, c = 9.207 Å
α = 90.00°, β = 90.00°, γ = 120.00°
Atoms (fractional coordinates):
1 Al 0.667 0.333 0.750
2 Dy 0.000 0.000 0.000
3 Pt 0.333 0.667 0.833
4 Pt 0.000 0.000 0.665
5 Ho 0.333 0.667 0.500
6 Pt 0.000 0.000 0.335
7 Al 0.667 0.333 0.250
8 Pt 0.333 0.667 0.167

***

No. 3
First-principles (PBE-GGA) data for an optimized crystal structure of AlCuSe2, as listed in OQMD via LeMat-Bulk.

Results
crystal system	triclinic

a = 5.998 Å, b = 6.009 Å, c = 6.198 Å
α = 89.83°, β = 89.76°, γ = 89.76°
Atoms (fractional coordinates):
1 Se 0.739 0.203 0.498
2 Al 0.500 0.000 0.250
3 Al 0.500 0.000 0.750
4 Se 0.261 0.797 0.502
5 Se 0.704 0.761 0.000
6 Se 0.296 0.239 0.000
7 Cu 0.500 0.500 0.500
8 Cu 0.000 0.000 0.000

***

No. 4
First-principles (PBE-GGA) data for an optimized crystal structure of PmZnSn, as listed in OQMD via LeMat-Bulk.

Results
crystal system	trigonal
offset from the most stable computed form	0	meV per atom

a = 4.485 Å, b = 4.485 Å, c = 4.255 Å
α = 90.00°, β = 90.00°, γ = 120.00°
Atoms (fractional coordinates):
1 Sn 0.333 0.667 0.864
2 Zn 0.667 0.333 0.788
3 Pm 0.000 0.000 0.348

***

No. 5
First-principles (PBE-GGA) data for an optimized crystal structure of PmY4Ag5, as listed in OQMD via LeMat-Bulk.

Results
formation energy	-3.3	eV per formula unit
crystal system	tetragonal

a = 3.636 Å, b = 3.636 Å, c = 18.349 Å
α = 90.00°, β = 90.00°, γ = 90.00°
Atoms (fractional coordinates):
1 Y 0.000 0.000 0.401
2 Y 0.000 0.000 0.599
3 Ag 0.500 0.500 0.894
4 Pm 0.000 0.000 0.000
5 Y 0.000 0.000 0.203
6 Ag 0.500 0.500 0.106
7 Ag 0.500 0.500 0.500
8 Ag 0.500 0.500 0.302
9 Y 0.000 0.000 0.797
10 Ag 0.500 0.500 0.698

***

No. 6
First-principles (PBE-GGA) data for an optimized crystal structure of BaGdGaS3, as listed in OQMD via LeMat-Bulk.

Results
crystal system	orthorhombic

a = 7.447 Å, b = 7.447 Å, c = 11.325 Å
α = 90.00°, β = 90.00°, γ = 148.19°
Atoms (fractional coordinates):
1 S 0.872 0.128 0.008
2 Gd 0.500 0.500 0.500
3 Ba 0.191 0.809 0.250
4 Ga 0.888 0.112 0.250
5 S 0.128 0.872 0.992
6 Gd 0.500 0.500 0.000
7 S 0.493 0.507 0.750
8 Ga 0.112 0.888 0.750
9 S 0.872 0.128 0.492
10 S 0.507 0.493 0.250
11 Ba 0.809 0.191 0.750
12 S 0.128 0.872 0.508

***

no.,E_tot (eV/atom)
1,-6.66
2,-6.31
3,-4.17
4,-3.92
5,-4.80
6,-5.12